The following is a GGA-PBE calculation of an optimized crystal structure of Ce8HgGe6, from Alexandria.

abc: 7.952 7.952 7.952
angles: 68.40 68.40 68.40
Sites, in units of the cell vectors:
Ce  0.108  0.400  0.713
Ce  0.162  0.162  0.162
Ce  0.287  0.892  0.600
Ce  0.400  0.713  0.108
Ce  0.600  0.287  0.892
Ce  0.713  0.108  0.400
Ce  0.838  0.838  0.838
Ce  0.892  0.600  0.287
Hg  0.500  0.500  0.500
Ge  0.066  0.779  0.434
Ge  0.221  0.566  0.934
Ge  0.434  0.066  0.779
Ge  0.566  0.934  0.221
Ge  0.779  0.434  0.066
Ge  0.934  0.221  0.566

Values from the calculation:
**E_tot**: -83.3 eV per formula unit
**SG**: No. 148

---

The following is a GGA-PBE calculation of an optimized crystal structure of Ce6HgGe5, from Alexandria.

abc: 7.445 7.445 7.389
angles: 99.62 99.62 119.62
Sites, in units of the cell vectors:
Ce  0.058  0.412  0.737
Ce  0.232  0.232  0.255
Ce  0.412  0.058  0.737
Ce  0.588  0.942  0.263
Ce  0.768  0.768  0.745
Ce  0.942  0.588  0.263
Hg  0.500  0.500  0.000
Ge  0.000  0.000  0.500
Ge  0.169  0.831  0.000
Ge  0.344  0.656  0.500
Ge  0.656  0.344  0.500
Ge  0.831  0.169  0.000

Values from the calculation:
**E_tot**: -65.5 eV per formula unit
**SG**: No. 12

---

The following is a GGA-PBE calculation of an optimized crystal structure of CeHgGe2, from Alexandria.

abc: 7.471 7.471 7.471
angles: 38.14 38.14 38.14
Sites, in units of the cell vectors:
Ce  0.000  0.000  0.000
Hg  0.500  0.500  0.500
Ge  0.374  0.374  0.374
Ge  0.626  0.626  0.626

Values from the calculation:
**E_tot**: -14.9 eV per formula unit
**SG**: No. 166

---

The following is a GGA-PBE calculation of an optimized crystal structure of Ce2HgGe, from Alexandria.

abc: 8.271 8.271 8.271
angles: 29.20 29.20 29.20
Sites, in units of the cell vectors:
Ce  0.239  0.239  0.239
Ce  0.761  0.761  0.761
Hg  0.000  0.000  0.000
Ge  0.500  0.500  0.500

Values from the calculation:
**E_tot**: -18.3 eV per formula unit
**SG**: No. 166

---

Total magnetization values (in μB per formula unit) by entry order: 6.8, 3.6, 1.3, 2.2.
Calculated density values (in g cm⁻³) by entry order: 7.0, 6.9, 5.7, 7.7.